VASP calculation (PBE-GGA) on TmLuBePt after structural relaxation.

As for the energy relative to the elements: -239.0 kJ/mol of formula units.

a b c (Å): 4.817 4.817 4.817
angles (deg): 60.00 60.00 60.00
Atoms (fractional coordinates):
Tm  0.000  0.000  0.000
Lu  0.500  0.500  0.500
Be  0.750  0.750  0.750
Pt  0.250  0.250  0.250

VASP calculation (PBE-GGA) on YLuBePt after structural relaxation.

As for the energy relative to the elements: -225.1 kJ/mol of formula units.

a b c (Å): 4.859 4.859 4.859
angles (deg): 60.00 60.00 60.00
Atoms (fractional coordinates):
Y  0.000  0.000  0.000
Lu  0.500  0.500  0.500
Be  0.750  0.750  0.750
Pt  0.250  0.250  0.250